Material: ReTc2Se
Method: DFT, GGA-PBE
State: relaxed

Lattice parameters (Å, degrees): 4.4898 4.4898 2.9901 90.00 90.00 90.00
With the nearest neighbours (Å) after each atom.
Space group P4/mmm (No. 123)
Symmetry-distinct sites (fractional):
Re 0.0000 0.0000 0.0000 [1 per cell]  8 Tc 2.70, 2 Re 2.99
Tc 0.0000 0.5000 0.5000 [2 per cell]  4 Re 2.70, 4 Se 2.70, 2 Tc 2.99
Se 0.5000 0.5000 0.0000 [1 per cell]  8 Tc 2.70, 2 Se 2.99

Properties
- Final energy: -8.798 eV/atom

=====

Material: ReTcSe2
Method: DFT, GGA-PBE
State: relaxed

Lattice parameters (Å, degrees): 4.0724 4.0724 7.7543 90.00 90.00 90.00
With the nearest neighbours (Å) after each atom.
Space group I-4m2 (No. 119)
Symmetry-distinct sites (fractional):
Re 0.0000 0.0000 0.0000 [2 per cell]  8 Se 2.81-2.88, 4 Tc 2.81
Tc 0.0000 0.5000 0.7500 [2 per cell]  8 Se 2.81-2.88, 4 Re 2.81
Se 0.0000 0.0000 0.5000 [2 per cell]  4 Tc 2.81, 4 Se 2.81, 4 Re 2.88
Se 0.0000 0.5000 0.2500 [2 per cell]  4 Re 2.81, 4 Se 2.81, 4 Tc 2.88

Properties
- Final energy: -6.704 eV/atom

=====

Record order is preserved below.
Volume: 15.07 16.07 Å³ per atom
Record order is preserved below.
Formation energy (no corrections): 0.37 0.74 eV per atom